[1]
This record from Alexandria describes a geometry-optimized PmSm4Sb5 structure. The functional is PBE-GGA.

Summary:
Density of states at the Fermi level in states/eV/cell: 2.03
Crystal system: orthorhombic
SG: No. 71
Raw formation energy in eV/atom: -1.180

Geometry as POSCAR:
```
PmSm4Sb5
1.0
4.397 0.000 -0.848
-0.326 6.086 -1.689
0.003 -0.001 11.834
Sb Pm Sm
5 1 4
Direct
0.800 0.300 0.600
0.400 0.900 0.799
0.600 0.100 0.201
0.200 0.700 0.400
0.000 0.500 0.000
0.000 0.000 0.000
0.600 0.600 0.200
0.200 0.200 0.400
0.400 0.400 0.800
0.800 0.800 0.600
```



[2]
This record from Alexandria describes a geometry-optimized Ti4VIr2 structure. The functional is PBE-GGA.

Summary:
Density of states at the Fermi level in states/eV/cell: 10.56
Uncorrected energy in eV per atom: -8.760
Crystal system: tetragonal
SG: No. 139

Geometry as POSCAR:
```
Ti4VIr2
1.0
1.053 0.887 -5.131
1.839 -4.810 1.307
-5.253 0.303 0.734
Ti V Ir
4 1 2
Direct
0.500 0.500 0.500
0.000 0.000 0.500
0.500 0.000 0.000
0.000 0.500 0.000
0.000 0.000 0.000
0.500 0.500 0.000
0.500 0.000 0.500
```



[3]
This record from Alexandria describes a geometry-optimized Nd2Sc3Ga4 structure. The functional is PBE-GGA.

Summary:
Density of states at the Fermi level in states/eV/cell: 16.85
Uncorrected energy in eV per atom: -4.985
Crystal system: orthorhombic
SG: No. 64

Geometry as POSCAR:
```
Nd2Sc3Ga4
1.0
-4.953 -0.870 4.131
-0.115 -8.026 -1.828
7.554 -0.958 3.729
Ga Sc Nd
8 6 4
Direct
0.290 0.250 0.081
0.317 0.459 0.634
0.790 0.250 0.081
0.183 0.959 0.366
0.710 0.750 0.919
0.817 0.041 0.634
0.210 0.750 0.919
0.683 0.541 0.366
0.000 0.000 0.000
0.967 0.250 0.433
0.467 0.250 0.433
0.033 0.750 0.567
0.533 0.750 0.567
0.500 0.500 0.000
0.109 0.583 0.218
0.609 0.917 0.218
0.391 0.083 0.782
0.891 0.417 0.782
```



[4]
This record from Alexandria describes a geometry-optimized La5TmHg3 structure. The functional is PBE-GGA.

Summary:
Density of states at the Fermi level in states/eV/cell: 20.11
Uncorrected energy in eV per atom: -3.634
Crystal system: hexagonal
SG: No. 193

Geometry as POSCAR:
```
La5TmHg3
1.0
7.048 0.000 0.000
0.000 9.521 0.000
0.000 -4.760 8.245
La Tm Hg
10 2 6
Direct
0.000 0.667 0.333
0.500 0.333 0.667
0.750 0.337 0.000
0.000 0.333 0.667
0.250 0.663 0.000
0.250 0.000 0.663
0.500 0.667 0.333
0.750 0.663 0.663
0.250 0.337 0.337
0.750 0.000 0.337
0.500 0.000 0.000
0.000 0.000 0.000
0.750 0.322 0.322
0.250 0.322 0.000
0.250 0.678 0.678
0.250 0.000 0.322
0.750 0.000 0.678
0.750 0.678 0.000
```



[5]
This record from Alexandria describes a geometry-optimized MnNb2P2 structure. The functional is PBE-GGA.

Summary:
Density of states at the Fermi level in states/eV/cell: 6.11
Uncorrected energy in eV per atom: -8.315
Crystal system: tetragonal
SG: No. 127

Geometry as POSCAR:
```
MnNb2P2
1.0
-5.972 -0.269 -3.759
3.663 -2.077 -5.670
-0.407 -3.087 0.868
Nb P Mn
4 4 2
Direct
0.645 0.145 0.000
0.355 0.855 0.000
0.145 0.355 0.000
0.855 0.645 0.000
0.648 0.852 0.500
0.852 0.352 0.500
0.148 0.648 0.500
0.352 0.148 0.500
0.000 0.000 0.000
0.500 0.500 0.000
```



[6]
This record from Alexandria describes a geometry-optimized Ta2CuSi structure. The functional is PBE-GGA.

Summary:
Density of states at the Fermi level in states/eV/cell: 1.52
Crystal system: tetragonal
SG: No. 123
Raw formation energy in eV/atom: -0.123

Geometry as POSCAR:
```
Ta2CuSi
1.0
-0.763 -3.798 0.780
1.198 0.525 3.725
-3.677 0.954 1.048
Ta Si Cu
2 1 1
Direct
0.000 0.000 0.000
0.500 0.500 0.000
0.000 0.500 0.500
0.500 0.000 0.500
```



[7]
This record from Alexandria describes a geometry-optimized TmBiPtRh structure. The functional is PBE-GGA.

Summary:
Density of states at the Fermi level in states/eV/cell: 2.26
Uncorrected energy in eV per atom: -6.077
Crystal system: cubic
SG: No. 216

Geometry as POSCAR:
```
TmBiPtRh
1.0
4.843 0.000 0.000
2.422 4.195 0.000
2.422 1.398 3.955
Tm Rh Pt Bi
1 1 1 1
Direct
0.000 0.000 0.000
0.250 0.250 0.250
0.750 0.750 0.750
0.500 0.500 0.500
```



[8]
This record from Alexandria describes a geometry-optimized Nd3Cd2Au4 structure. The functional is PBE-GGA.

Summary:
Density of states at the Fermi level in states/eV/cell: 4.99
Uncorrected energy in eV per atom: -3.905
Crystal system: monoclinic
SG: No. 12

Geometry as POSCAR:
```
Nd3Cd2Au4
1.0
-3.568 2.543 -1.941
-5.412 -2.783 0.388
-3.986 3.864 6.476
Au Cd Nd
4 2 3
Direct
0.067 0.266 0.601
0.721 0.619 0.938
0.279 0.381 0.062
0.933 0.734 0.399
0.647 0.021 0.686
0.353 0.979 0.314
0.649 0.391 0.312
0.000 0.000 0.000
0.351 0.609 0.688
```



[9]
This record from Alexandria describes a geometry-optimized BaCrAg2 structure. The functional is PBE-GGA.

Summary:
Density of states at the Fermi level in states/eV/cell: 3.91
Uncorrected energy in eV per atom: -3.937
Crystal system: tetragonal
SG: No. 141

Geometry as POSCAR:
```
BaCrAg2
1.0
5.302 0.000 0.000
0.000 5.302 0.000
2.651 2.651 9.353
Cr Ag Ba
2 4 2
Direct
0.500 0.500 0.000
0.250 0.750 0.500
0.375 0.125 0.250
0.875 0.625 0.750
0.375 0.625 0.750
0.375 0.625 0.250
0.750 0.250 0.500
0.000 0.000 0.000
```



[10]
This record from Alexandria describes a geometry-optimized CaHoErTl structure. The functional is PBE-GGA.

Summary:
Density of states at the Fermi level in states/eV/cell: 4.16
Uncorrected energy in eV per atom: -3.391
Crystal system: cubic
SG: No. 216

Geometry as POSCAR:
```
CaHoErTl
1.0
-4.776 2.333 -1.368
-4.207 -3.119 -1.642
-4.385 -0.620 3.241
Ca Er Ho Tl
1 1 1 1
Direct
0.500 0.500 0.500
0.750 0.750 0.750
0.250 0.250 0.250
0.000 0.000 0.000
```



[11]
This record from Alexandria describes a geometry-optimized LiTaInSb2 structure. The functional is PBE-GGA.

Summary:
Density of states at the Fermi level in states/eV/cell: 3.31
Crystal system: tetragonal
SG: No. 123
Raw formation energy in eV/atom: 0.240

Geometry as POSCAR:
```
LiTaInSb2
1.0
5.383 0.000 0.000
0.000 5.458 0.000
0.000 0.000 5.383
Sb Li In Ta
2 1 1 1
Direct
0.000 0.000 0.500
0.500 0.000 0.000
0.500 0.500 0.500
0.000 0.500 0.000
0.000 0.000 0.000
```



[12]
This record from Alexandria describes a geometry-optimized LiCuRu structure. The functional is PBE-GGA.

Summary:
Density of states at the Fermi level in states/eV/cell: 2.03
Uncorrected energy in eV per atom: -4.908
Crystal system: tetragonal
SG: No. 107

Geometry as POSCAR:
```
LiCuRu
1.0
-0.096 -3.032 -5.727
3.132 -3.678 -4.321
-2.157 1.882 5.815
Ru Li Cu
1 1 1
Direct
0.663 0.663 0.000
0.335 0.335 0.000
0.002 0.002 0.000
```